## one
The following is a PBE calculation of a relaxed structure of Rb2MgIn2, from Alexandria via LeMat-Bulk.

Cell lengths 7.973, 7.973, 6.294 Å; angles 90.00, 90.00, 90.00 degrees
Positions (direct):
Rb (0.180, 0.320, 0.000)
Rb (0.320, 0.820, 0.000)
Rb (0.680, 0.180, 0.000)
Rb (0.820, 0.680, 0.000)
Mg (0.000, 0.000, 0.500)
Mg (0.500, 0.500, 0.500)
In (0.131, 0.631, 0.500)
In (0.369, 0.131, 0.500)
In (0.631, 0.869, 0.500)
In (0.869, 0.369, 0.500)

Values from the calculation:
SG: P4/mbm, No. 127
D(E_F) in states/eV per cell: 5.9

## two
The following is a PBE calculation of a relaxed structure of Rb2MgIn2, from Alexandria via LeMat-Bulk.

Cell lengths 12.671, 12.671, 12.671 Å; angles 160.48, 160.48, 27.74 degrees
Positions (direct):
Rb (0.112, 0.112, 0.000)
Rb (0.888, 0.888, 0.000)
Mg (0.500, 0.500, 0.000)
In (0.250, 0.750, 0.500)
In (0.750, 0.250, 0.500)

Values from the calculation:
SG: I4/mmm, No. 139
D(E_F) in states/eV per cell: 3.2

Which structure is most stable? one, by 88 meV/atom over the runner-up.

## one
The following is a PBE calculation of a relaxed structure of Mg2InRh2, from Alexandria via LeMat-Bulk.

Cell lengths 6.735, 6.735, 6.735 Å; angles 146.62, 146.62, 47.92 degrees
Positions (direct):
Mg (0.250, 0.750, 0.500)
Mg (0.750, 0.250, 0.500)
In (0.000, 0.000, 0.000)
Rh (0.396, 0.396, 0.000)
Rh (0.604, 0.604, 0.000)

Values from the calculation:
SG: I4/mmm, No. 139
D(E_F) in states/eV per cell: 2.4

## two
The following is a PBE calculation of a relaxed structure of Mg2InRh2, from Alexandria via LeMat-Bulk.

Cell lengths 7.408, 7.408, 3.055 Å; angles 90.00, 90.00, 90.00 degrees
Positions (direct):
Mg (0.128, 0.372, 0.000)
Mg (0.372, 0.872, 0.000)
Mg (0.628, 0.128, 0.000)
Mg (0.872, 0.628, 0.000)
In (0.000, 0.000, 0.000)
In (0.500, 0.500, 0.000)
Rh (0.171, 0.671, 0.500)
Rh (0.329, 0.171, 0.500)
Rh (0.671, 0.829, 0.500)
Rh (0.829, 0.329, 0.500)

Values from the calculation:
SG: P4/mbm, No. 127
D(E_F) in states/eV per cell: 3.8

Which structure is most stable? two, by 222 meV/atom over the runner-up.